Entry 1:
VASP calculation (GGA-PBE) on Pm6Sn2Pb after structural relaxation.

Cell and atoms, written as POSCAR:
```
Pm6Sn2Pb
1.0
8.6268 0.0000 0.0000
-4.3134 7.4711 0.0000
0.0000 0.0000 4.3998
Pm Sn Pb
6 2 1
Direct
0.0000 0.2715 0.0000
0.0000 0.5950 0.5000
0.2715 0.0000 0.0000
0.4050 0.4050 0.5000
0.5950 0.0000 0.5000
0.7285 0.7285 0.0000
0.3333 0.6667 0.0000
0.6667 0.3333 0.0000
0.0000 0.0000 0.5000
```

Results
Energy of formation (meV/atom): -523
Calculated volume (Å³ per cell): 283.58
Total energy (eV/atom): -4.99



Entry 2:
VASP calculation (GGA-PBE) on Pm3SnPb2 after structural relaxation.

Cell and atoms, written as POSCAR:
```
Pm3SnPb2
1.0
13.1418 0.0000 0.0000
0.0000 4.6649 0.0000
0.0000 0.0000 12.2584
Pm Sn Pb
12 4 8
Direct
0.0508 0.2500 0.1164
0.1245 0.7500 0.5620
0.2381 0.2500 0.7904
0.2619 0.7500 0.2904
0.3755 0.2500 0.0620
0.4492 0.7500 0.6164
0.5508 0.2500 0.3836
0.6245 0.7500 0.9380
0.7381 0.2500 0.7096
0.7619 0.7500 0.2096
0.8755 0.2500 0.4380
0.9492 0.7500 0.8836
0.1207 0.2500 0.3777
0.3793 0.7500 0.8777
0.6207 0.2500 0.1223
0.8793 0.7500 0.6223
0.0118 0.2500 0.7144
0.1852 0.7500 0.0144
0.3148 0.2500 0.5144
0.4882 0.7500 0.2144
0.5118 0.2500 0.7856
0.6852 0.7500 0.4856
0.8148 0.2500 0.9856
0.9882 0.7500 0.2856
```

Results
Energy of formation (meV/atom): -505
Calculated volume (Å³ per cell): 751.51
Total energy (eV/atom): -4.78
Relative energy among the computed polymorphs (meV per atom): 69



Entry 3:
VASP calculation (GGA-PBE) on Pm5Sn4Pb after structural relaxation.

Cell and atoms, written as POSCAR:
```
Pm5Sn4Pb
1.0
3.5357 0.0000 0.0000
0.0000 3.5357 0.0000
0.0000 0.0000 22.7301
Pm Sn Pb
5 4 1
Direct
0.0000 0.0000 0.0000
0.0000 0.0000 0.1989
0.0000 0.0000 0.3950
0.0000 0.0000 0.6050
0.0000 0.0000 0.8011
0.5000 0.5000 0.0993
0.5000 0.5000 0.2978
0.5000 0.5000 0.7022
0.5000 0.5000 0.9007
0.5000 0.5000 0.5000
```

Results
Energy of formation (meV/atom): -646
Calculated volume (Å³ per cell): 284.16
Total energy (eV/atom): -4.99



Entry 4:
VASP calculation (GGA-PBE) on Pm5Sn2Pb after structural relaxation.

Cell and atoms, written as POSCAR:
```
Pm5Sn2Pb
1.0
-4.1741 4.1741 7.1585
4.1741 -4.1741 7.1585
4.1741 4.1741 -7.1585
Pm Sn Pb
10 4 2
Direct
0.0000 0.0000 0.0000
0.0138 0.5138 0.8239
0.1899 0.0138 0.5000
0.3101 0.8101 0.8239
0.4862 0.3101 0.5000
0.5000 0.5000 0.0000
0.5138 0.6899 0.5000
0.6899 0.1899 0.1761
0.8101 0.9862 0.5000
0.9862 0.4862 0.1761
0.1372 0.3628 0.5000
0.3628 0.8628 0.2255
0.6372 0.1372 0.7745
0.8628 0.6372 0.5000
0.2500 0.2500 0.0000
0.7500 0.7500 0.0000
```

Results
Energy of formation (meV/atom): -612
Calculated volume (Å³ per cell): 498.89
Total energy (eV/atom): -5.05
Relative energy among the computed polymorphs (meV per atom): 0



Entry 5:
VASP calculation (GGA-PBE) on Pm6Sn5Pb after structural relaxation.

Cell and atoms, written as POSCAR:
```
Pm6Sn5Pb
1.0
3.9045 -6.6037 0.0000
3.9045 6.6037 0.0000
-2.4760 0.0000 7.5335
Pm Sn Pb
6 5 1
Direct
0.0770 0.4145 0.7457
0.2447 0.2447 0.2504
0.4145 0.0770 0.7457
0.5855 0.9230 0.2543
0.7553 0.7553 0.7496
0.9230 0.5855 0.2543
0.0000 0.0000 0.5000
0.1683 0.8317 0.0000
0.3369 0.6631 0.5000
0.6631 0.3369 0.5000
0.8317 0.1683 0.0000
0.5000 0.5000 0.0000
```

Results
Energy of formation (meV/atom): -534
Calculated volume (Å³ per cell): 388.49
Total energy (eV/atom): -4.89



Entry 6:
VASP calculation (GGA-PBE) on Pm12SnPb7 after structural relaxation.

Cell and atoms, written as POSCAR:
```
Pm12SnPb7
1.0
8.0692 4.6587 2.9540
-8.0692 4.6587 2.9540
0.0000 -9.3175 2.9540
Pm Sn Pb
12 1 7
Direct
0.0000 0.2763 0.7237
0.0000 0.7237 0.2763
0.1521 0.4794 0.4794
0.2763 0.0000 0.7237
0.2763 0.7237 0.0000
0.4794 0.1521 0.4794
0.4794 0.4794 0.1521
0.5206 0.5206 0.8479
0.5206 0.8479 0.5206
0.7237 0.0000 0.2763
0.7237 0.2763 0.0000
0.8479 0.5206 0.5206
0.0000 0.0000 0.0000
0.1392 0.1392 0.4665
0.1392 0.4665 0.1392
0.4665 0.1392 0.1392
0.5000 0.5000 0.5000
0.5335 0.8608 0.8608
0.8608 0.5335 0.8608
0.8608 0.8608 0.5335
```

Results
Energy of formation (meV/atom): -227
Calculated volume (Å³ per cell): 666.29
Total energy (eV/atom): -4.58



Entry 7:
VASP calculation (GGA-PBE) on Pm4SnPb2 after structural relaxation.

Cell and atoms, written as POSCAR:
```
Pm4SnPb2
1.0
0.0000 6.8044 4.8006
6.7940 0.0000 4.8006
6.7940 6.8044 0.0000
Pm Sn Pb
8 2 4
Direct
0.0683 0.4317 0.1814
0.0686 0.9314 0.1817
0.2107 0.5743 0.6763
0.4317 0.0683 0.3186
0.5743 0.2107 0.5386
0.5737 0.7114 0.0393
0.7114 0.5737 0.6757
0.9314 0.0686 0.8183
0.6963 0.6963 0.3037
0.9463 0.9463 0.5537
0.1970 0.4455 0.4288
0.3213 0.8212 0.8045
0.4455 0.1970 0.9287
0.8212 0.3213 0.0530
```

Results
Energy of formation (meV/atom): -638
Calculated volume (Å³ per cell): 443.86
Total energy (eV/atom): -4.98



Entry 8:
VASP calculation (GGA-PBE) on PmSnPb after structural relaxation.

Cell and atoms, written as POSCAR:
```
PmSnPb
1.0
2.3181 -8.4102 0.0000
2.3181 8.4102 0.0000
0.0000 0.0000 4.4550
Pm Sn Pb
2 2 2
Direct
0.0952 0.9048 0.7500
0.9048 0.0952 0.2500
0.4379 0.5621 0.7500
0.5621 0.4379 0.2500
0.2534 0.7466 0.2500
0.7466 0.2534 0.7500
```

Results
Energy of formation (meV/atom): -544
Calculated volume (Å³ per cell): 173.70
Total energy (eV/atom): -4.70
Relative energy among the computed polymorphs (meV per atom): 0



Entry 9:
VASP calculation (GGA-PBE) on Pm2Sn3Pb after structural relaxation.

Cell and atoms, written as POSCAR:
```
Pm2Sn3Pb
1.0
-1.7199 2.9223 9.1696
1.7199 -2.9223 9.1696
1.7199 2.9223 -9.1696
Pm Sn Pb
2 3 1
Direct
0.1533 0.1533 0.0000
0.8467 0.8467 0.0000
0.0000 0.5000 0.5000
0.3288 0.3288 0.0000
0.6712 0.6712 0.0000
0.5000 0.5000 0.0000
```

Results
Energy of formation (meV/atom): -273
Calculated volume (Å³ per cell): 184.35
Total energy (eV/atom): -4.48
Relative energy among the computed polymorphs (meV per atom): 314



Entry 10:
VASP calculation (GGA-PBE) on PmSn4Pb after structural relaxation.

Cell and atoms, written as POSCAR:
```
PmSn4Pb
1.0
0.0000 4.4112 4.4112
4.4112 0.0000 4.4112
4.4112 4.4112 0.0000
Pm Sn Pb
1 4 1
Direct
0.0000 0.0000 0.0000
0.1250 0.6250 0.6250
0.6250 0.1250 0.6250
0.6250 0.6250 0.1250
0.6250 0.6250 0.6250
0.2500 0.2500 0.2500
```

Results
Energy of formation (meV/atom): -175
Calculated volume (Å³ per cell): 171.68
Total energy (eV/atom): -4.25



Entry 11:
VASP calculation (GGA-PBE) on Pm12Sn6Pb after structural relaxation.

Cell and atoms, written as POSCAR:
```
Pm12Sn6Pb
1.0
6.9845 4.0325 4.1486
-6.9845 4.0325 4.1486
0.0000 -8.0650 4.1486
Pm Sn Pb
12 6 1
Direct
0.0551 0.6680 0.9434
0.0566 0.9449 0.3320
0.1841 0.4200 0.5608
0.3320 0.0566 0.9449
0.4200 0.5608 0.1841
0.4392 0.8159 0.5800
0.5608 0.1841 0.4200
0.5800 0.4392 0.8159
0.6680 0.9434 0.0551
0.8159 0.5800 0.4392
0.9434 0.0551 0.6680
0.9449 0.3320 0.0566
0.1309 0.6183 0.3099
0.3099 0.1309 0.6183
0.3817 0.6901 0.8691
0.6183 0.3099 0.1309
0.6901 0.8691 0.3817
0.8691 0.3817 0.6901
0.0000 0.0000 0.0000
```

Results
Energy of formation (meV/atom): -375
Calculated volume (Å³ per cell): 701.06
Total energy (eV/atom): -4.83



Entry 12:
VASP calculation (GGA-PBE) on PmSnPb after structural relaxation.

Cell and atoms, written as POSCAR:
```
PmSnPb
1.0
5.4025 0.0000 0.0000
-2.7012 4.6787 0.0000
0.0000 0.0000 3.5215
Pm Sn Pb
1 1 1
Direct
0.0000 0.0000 0.0000
0.3333 0.6667 0.5092
0.6667 0.3333 0.4921
```

Results
Energy of formation (meV/atom): -337
Calculated volume (Å³ per cell): 89.01
Total energy (eV/atom): -4.49
Relative energy among the computed polymorphs (meV per atom): 208



Entry 13:
VASP calculation (GGA-PBE) on Pm8SnPb6 after structural relaxation.

Cell and atoms, written as POSCAR:
```
Pm8SnPb6
1.0
4.8541 2.8025 6.2149
-4.8541 2.8025 6.2149
0.0000 -5.6050 6.2149
Pm Sn Pb
8 1 6
Direct
0.1514 0.6683 0.3959
0.1836 0.1836 0.1836
0.3317 0.6041 0.8486
0.3959 0.1514 0.6683
0.6041 0.8486 0.3317
0.6683 0.3959 0.1514
0.8164 0.8164 0.8164
0.8486 0.3317 0.6041
0.5000 0.5000 0.5000
0.0434 0.4158 0.8266
0.1734 0.9566 0.5842
0.4158 0.8266 0.0434
0.5842 0.1734 0.9566
0.8266 0.0434 0.4158
0.9566 0.5842 0.1734
```

Results
Energy of formation (meV/atom): -448
Calculated volume (Å³ per cell): 507.27
Total energy (eV/atom): -4.73



Entry 14:
VASP calculation (GGA-PBE) on PmSnPb after structural relaxation.

Cell and atoms, written as POSCAR:
```
PmSnPb
1.0
1.7874 -8.5854 0.0000
1.7874 8.5854 0.0000
0.0000 0.0000 5.9607
Pm Sn Pb
2 2 2
Direct
0.1660 0.8340 0.7500
0.8340 0.1660 0.2500
0.0000 0.0000 0.0000
0.0000 0.0000 0.5000
0.3535 0.6465 0.7500
0.6465 0.3535 0.2500
```

Results
Energy of formation (meV/atom): -241
Calculated volume (Å³ per cell): 182.94
Total energy (eV/atom): -4.39
Relative energy among the computed polymorphs (meV per atom): 304



Entry 15:
VASP calculation (GGA-PBE) on Pm3SnPb2 after structural relaxation.

Cell and atoms, written as POSCAR:
```
Pm3SnPb2
1.0
4.7852 0.0000 0.0000
0.0000 11.3005 0.0000
0.0000 0.0000 7.0667
Pm Sn Pb
6 2 4
Direct
0.0000 0.0579 0.0000
0.0000 0.2703 0.4912
0.0000 0.7297 0.9912
0.0000 0.9421 0.5000
0.5000 0.3769 0.0037
0.5000 0.6231 0.5037
0.5000 0.1371 0.2767
0.5000 0.8629 0.7767
0.0000 0.4969 0.7495
0.0000 0.5031 0.2495
0.5000 0.1406 0.7186
0.5000 0.8594 0.2186
```

Results
Energy of formation (meV/atom): -575
Calculated volume (Å³ per cell): 382.13
Total energy (eV/atom): -4.85
Relative energy among the computed polymorphs (meV per atom): 0



Entry 16:
VASP calculation (GGA-PBE) on Pm2SnPb2 after structural relaxation.

Cell and atoms, written as POSCAR:
```
Pm2SnPb2
1.0
3.6545 0.0000 0.0000
1.8252 6.0283 0.0000
1.8243 0.7023 13.7547
Pm Sn Pb
4 2 4
Direct
0.0244 0.1343 0.3179
0.1592 0.2711 0.9080
0.8408 0.7289 0.0920
0.9756 0.8657 0.6821
0.3155 0.5890 0.2819
0.6845 0.4110 0.7181
0.3571 0.2592 0.5258
0.4270 0.7552 0.8873
0.5730 0.2448 0.1127
0.6429 0.7408 0.4742
```

Results
Energy of formation (meV/atom): -421
Calculated volume (Å³ per cell): 303.02
Total energy (eV/atom): -4.60
Relative energy among the computed polymorphs (meV per atom): 0



Entry 17:
VASP calculation (GGA-PBE) on Pm3SnPb3 after structural relaxation.

Cell and atoms, written as POSCAR:
```
Pm3SnPb3
1.0
9.1287 0.0000 0.0000
-4.5644 7.9057 0.0000
0.0000 0.0000 5.7757
Pm Sn Pb
6 2 6
Direct
0.0910 0.4487 0.2500
0.3577 0.9090 0.2500
0.4487 0.3577 0.7500
0.5513 0.6423 0.2500
0.6423 0.0910 0.7500
0.9090 0.5513 0.7500
0.3333 0.6667 0.7500
0.6667 0.3333 0.2500
0.0534 0.2493 0.7500
0.1960 0.9466 0.7500
0.2493 0.1960 0.2500
0.7507 0.8040 0.7500
0.8040 0.0534 0.2500
0.9466 0.7507 0.2500
```

Results
Energy of formation (meV/atom): -384
Calculated volume (Å³ per cell): 416.83
Total energy (eV/atom): -4.58



Entry 18:
VASP calculation (GGA-PBE) on Pm2Sn4Pb after structural relaxation.

Cell and atoms, written as POSCAR:
```
Pm2Sn4Pb
1.0
4.4815 0.0000 0.0000
0.0000 4.4815 0.0000
0.0000 0.0000 10.3203
Pm Sn Pb
2 4 1
Direct
0.0000 0.5000 0.2435
0.5000 0.0000 0.7565
0.0000 0.0000 0.0000
0.0000 0.5000 0.7093
0.5000 0.0000 0.2907
0.5000 0.5000 0.0000
0.0000 0.0000 0.5000
```

Results
Energy of formation (meV/atom): -394
Calculated volume (Å³ per cell): 207.27
Total energy (eV/atom): -4.57
Relative energy among the computed polymorphs (meV per atom): 19



Entry 19:
VASP calculation (GGA-PBE) on PmSn2Pb8 after structural relaxation.

Cell and atoms, written as POSCAR:
```
PmSn2Pb8
1.0
6.7748 -4.8491 0.0000
6.7748 4.8491 0.0000
-0.9442 0.0000 5.7485
Pm Sn Pb
1 2 8
Direct
0.0000 0.0000 0.0000
0.1189 0.1189 0.5272
0.8811 0.8811 0.4728
0.2096 0.6319 0.2177
0.2412 0.2412 0.0634
0.3681 0.7904 0.7823
0.3793 0.3793 0.6435
0.6207 0.6207 0.3565
0.6319 0.2096 0.2177
0.7588 0.7588 0.9366
0.7904 0.3681 0.7823
```

Results
Energy of formation (meV/atom): 24
Calculated volume (Å³ per cell): 377.70
Total energy (eV/atom): -3.83



Entry 20:
VASP calculation (GGA-PBE) on Pm6SnPb3 after structural relaxation.

Cell and atoms, written as POSCAR:
```
Pm6SnPb3
1.0
11.3198 0.0000 0.0000
0.0000 4.6123 0.0000
-5.1572 0.0000 12.6944
Pm Sn Pb
12 2 6
Direct
0.0199 0.2500 0.3588
0.0763 0.2500 0.8964
0.2457 0.7500 0.3324
0.3392 0.7500 0.1112
0.3407 0.7500 0.7860
0.3951 0.2500 0.5542
0.6049 0.7500 0.4458
0.6593 0.2500 0.2140
0.6608 0.2500 0.8888
0.7543 0.2500 0.6676
0.9237 0.7500 0.1036
0.9801 0.7500 0.6412
0.4313 0.2500 0.3019
0.5687 0.7500 0.6981
0.1334 0.2500 0.1468
0.1803 0.7500 0.5338
0.3885 0.2500 0.9593
0.6115 0.7500 0.0407
0.8197 0.2500 0.4662
0.8666 0.7500 0.8532
```

Results
Energy of formation (meV/atom): -419
Calculated volume (Å³ per cell): 662.78
Total energy (eV/atom): -4.78



Q: Which DOS at the Fermi energy values were calculated for the entries above? A: 1.255; 0.889; 0.839; 1.121; 0.977; 1.136; 0.133; 0.604; 0.754; 0.577; 0.963; 0.955; 0.961; 0.675; 0.600; 0.749; 1.000; 0.580; 0.584; 0.978, in states/eV/atom.